No. 1
A plane-wave DFT calculation with meta-GGA SCAN was carried out for a PBEsol-optimized structure of TaAsOsSe2.

Structure (POSCAR):
```
TaAsOsSe2
1.0
-3.736 2.148 1.773
-2.299 -4.053 0.065
1.707 -0.892 4.676
Se Ta As Os
2 1 1 1
Direct
0.500 0.000 0.000
0.000 0.500 0.000
0.000 0.000 0.500
0.500 0.500 0.500
0.000 0.000 0.000
```

Space group: P4/mmm, No. 123
Uncorrected formation energy (eV per atom): 1.114

No. 2
A plane-wave DFT calculation with meta-GGA SCAN was carried out for a PBEsol-optimized structure of TcAsOsSe2.

Structure (POSCAR):
```
TcAsOsSe2
1.0
4.665 0.000 0.000
0.000 4.651 0.000
0.000 0.000 4.651
Se Tc As Os
2 1 1 1
Direct
0.000 0.000 0.500
0.000 0.500 0.000
0.000 0.000 0.000
0.500 0.000 0.000
0.500 0.500 0.500
```

Space group: P4/mmm, No. 123
Uncorrected formation energy (eV per atom): 1.535

No. 3
A plane-wave DFT calculation with meta-GGA SCAN was carried out for a PBEsol-optimized structure of SiAsOs.

Structure (POSCAR):
```
SiAsOs
1.0
4.082 0.000 0.000
2.041 3.535 0.000
2.041 1.178 3.333
Os As Si
1 1 1
Direct
0.500 0.500 0.500
0.000 0.000 0.000
0.250 0.250 0.250
```

Space group: F-43m, No. 216
Uncorrected formation energy (eV per atom): 0.548

No. 4
A plane-wave DFT calculation with meta-GGA SCAN was carried out for a PBEsol-optimized structure of SiAs3Os.

Structure (POSCAR):
```
SiAs3Os
1.0
4.747 0.000 0.000
0.000 4.747 0.000
0.000 0.000 4.747
Si As Os
1 3 1
Direct
0.500 0.500 0.500
0.000 0.500 0.000
0.000 0.000 0.500
0.500 0.000 0.000
0.000 0.000 0.000
```

Space group: Pm-3m, No. 221
Uncorrected formation energy (eV per atom): 1.006

No. 5
A plane-wave DFT calculation with meta-GGA SCAN was carried out for a PBEsol-optimized structure of Si3AsOs.

Structure (POSCAR):
```
Si3AsOs
1.0
-3.434 0.065 2.918
-1.623 -3.788 -1.826
2.426 -2.442 2.909
Si As Os
3 1 1
Direct
0.000 0.500 0.000
0.500 0.000 0.000
0.000 0.000 0.500
0.000 0.000 0.000
0.500 0.500 0.500
```

Space group: Pm-3m, No. 221
Uncorrected formation energy (eV per atom): 1.848

No. 6
A plane-wave DFT calculation with meta-GGA SCAN was carried out for a PBEsol-optimized structure of SnAs3Os.

Structure (POSCAR):
```
SnAs3Os
1.0
4.802 0.000 0.000
0.000 4.802 0.000
0.000 0.000 4.802
As Os Sn
3 1 1
Direct
0.000 0.500 0.000
0.500 0.000 0.000
0.000 0.000 0.500
0.000 0.000 0.000
0.500 0.500 0.500
```

Space group: Pm-3m, No. 221
DFT formation energy (eV/atom): 0.66

No. 7
A plane-wave DFT calculation with meta-GGA SCAN was carried out for a PBEsol-optimized structure of Sr2AsOs.

Structure (POSCAR):
```
Sr2AsOs
1.0
-0.890 -4.400 2.085
-1.838 -1.659 -4.285
4.554 1.936 0.155
Sr Os As
2 1 1
Direct
0.750 0.250 0.500
0.000 0.000 0.000
0.250 0.750 0.500
0.500 0.500 0.000
```

Space group: F-43m, No. 216
DFT formation energy (eV/atom): 0.37

No. 8
A plane-wave DFT calculation with meta-GGA SCAN was carried out for a PBEsol-optimized structure of Sr2AsOs.

Structure (POSCAR):
```
Sr2AsOs
1.0
3.486 0.000 0.000
1.743 3.019 0.000
1.743 1.006 9.297
Sr Os As
2 1 1
Direct
0.746 0.746 0.762
0.254 0.254 0.238
0.000 0.000 0.000
0.500 0.500 0.500
```

Space group: R-3m, No. 166
DFT formation energy (eV/atom): 0.45

No. 9
A plane-wave DFT calculation with meta-GGA SCAN was carried out for a PBEsol-optimized structure of SrAs2Os.

Structure (POSCAR):
```
SrAs2Os
1.0
-2.960 -1.268 0.041
1.126 -2.694 -1.989
1.621 -3.597 5.790
Sr As Os
1 2 1
Direct
0.500 0.500 0.751
0.000 0.000 0.048
0.500 0.500 0.288
0.000 0.000 0.413
```

Space group: Pmm2, No. 25
DFT formation energy (eV/atom): 0.04

No. 10
A plane-wave DFT calculation with meta-GGA SCAN was carried out for a PBEsol-optimized structure of Sr3AsOs.

Structure (POSCAR):
```
Sr3AsOs
1.0
5.500 0.000 0.000
0.000 5.500 0.000
0.000 0.000 5.500
Sr As Os
3 1 1
Direct
0.500 0.000 0.000
0.000 0.000 0.500
0.000 0.500 0.000
0.500 0.500 0.500
0.000 0.000 0.000
```

Space group: Pm-3m, No. 221
DFT formation energy (eV/atom): 0.22

No. 11
A plane-wave DFT calculation with meta-GGA SCAN was carried out for a PBEsol-optimized structure of TaAsOs4.

Structure (POSCAR):
```
TaAsOs4
1.0
5.134 0.000 0.000
2.567 4.446 0.000
2.567 1.482 4.192
Os As Ta
4 1 1
Direct
0.375 0.375 0.375
0.375 0.375 0.875
0.875 0.375 0.375
0.375 0.875 0.375
0.000 0.000 0.000
0.750 0.750 0.750
```

Space group: F-43m, No. 216
DFT formation energy (eV/atom): 0.58

No. 12
A plane-wave DFT calculation with meta-GGA SCAN was carried out for a PBEsol-optimized structure of TaTl2AsOs.

Structure (POSCAR):
```
TaTl2AsOs
1.0
-0.246 -1.335 4.632
-3.261 -3.751 -1.254
3.946 -3.193 -0.711
Ta Tl Os As
1 2 1 1
Direct
0.500 0.000 0.000
0.000 0.500 0.000
0.000 0.000 0.500
0.000 0.000 0.000
0.500 0.500 0.500
```

Space group: P4/mmm, No. 123
DFT formation energy (eV/atom): 0.98

No. 13
A plane-wave DFT calculation with meta-GGA SCAN was carried out for a PBEsol-optimized structure of TcAsOs2.

Structure (POSCAR):
```
TcAsOs2
1.0
-1.941 -2.063 -0.556
-0.721 -0.474 4.275
-1.890 4.354 -2.061
Os Tc As
2 1 1
Direct
0.278 0.278 0.555
0.722 0.722 0.445
0.500 0.000 0.000
0.000 0.500 0.000
```

Space group: Immm, No. 71
DFT formation energy (eV/atom): 0.19

No. 14
A plane-wave DFT calculation with meta-GGA SCAN was carried out for a PBEsol-optimized structure of TcAsOs.

Structure (POSCAR):
```
TcAsOs
1.0
-1.918 -3.277 -1.616
0.708 -3.767 1.530
-2.940 -1.939 2.152
As Os Tc
1 1 1
Direct
0.500 0.500 0.500
0.750 0.750 0.750
0.000 0.000 0.000
```

Space group: F-43m, No. 216
DFT formation energy (eV/atom): 0.09

No. 15
A plane-wave DFT calculation with meta-GGA SCAN was carried out for a PBEsol-optimized structure of Te2AsOs.

Structure (POSCAR):
```
Te2AsOs
1.0
3.045 0.000 0.000
0.000 3.045 0.000
0.000 0.000 9.430
Os Te As
1 2 1
Direct
0.500 0.500 0.730
0.000 0.000 0.930
0.500 0.500 0.266
0.000 0.000 0.574
```

Space group: P4mm, No. 99
Uncorrected formation energy (eV per atom): 0.274

No. 16
A plane-wave DFT calculation with meta-GGA SCAN was carried out for a PBEsol-optimized structure of Te3AsOs.

Structure (POSCAR):
```
Te3AsOs
1.0
5.125 0.000 0.000
0.000 5.125 0.000
0.000 0.000 5.125
Te As Os
3 1 1
Direct
0.000 0.000 0.500
0.000 0.500 0.000
0.500 0.000 0.000
0.500 0.500 0.500
0.000 0.000 0.000
```

Space group: Pm-3m, No. 221
Energy above the lowest structure with this stoichiometry (eV per atom): 0.0000
Uncorrected formation energy (eV per atom): 0.897

No. 17
A plane-wave DFT calculation with meta-GGA SCAN was carried out for a PBEsol-optimized structure of TeAsOs.

Structure (POSCAR):
```
TeAsOs
1.0
4.371 0.000 0.000
2.186 3.786 0.000
2.186 1.262 3.569
Te Os As
1 1 1
Direct
0.000 0.000 0.000
0.250 0.250 0.250
0.500 0.500 0.500
```

Space group: F-43m, No. 216
Uncorrected formation energy (eV per atom): 0.070

No. 18
A plane-wave DFT calculation with meta-GGA SCAN was carried out for a PBEsol-optimized structure of Te2AsOs.

Structure (POSCAR):
```
Te2AsOs
1.0
3.524 0.000 0.000
0.000 4.083 0.000
-1.762 -2.042 6.291
Te As Os
2 1 1
Direct
0.835 0.835 0.670
0.165 0.165 0.330
0.000 0.500 0.000
0.500 0.000 0.000
```

Space group: Immm, No. 71
Uncorrected formation energy (eV per atom): 0.421

No. 19
A plane-wave DFT calculation with meta-GGA SCAN was carried out for a PBEsol-optimized structure of Te3AsOs.

Structure (POSCAR):
```
Te3AsOs
1.0
5.210 0.000 0.000
0.000 5.210 0.000
0.000 0.000 5.210
Te As Os
3 1 1
Direct
0.000 0.000 0.500
0.500 0.000 0.000
0.000 0.500 0.000
0.000 0.000 0.000
0.500 0.500 0.500
```

Space group: Pm-3m, No. 221
Energy above the lowest structure with this stoichiometry (eV per atom): 0.7686
Uncorrected formation energy (eV per atom): 1.666

No. 20
A plane-wave DFT calculation with meta-GGA SCAN was carried out for a PBEsol-optimized structure of TeAsOs2.

Structure (POSCAR):
```
TeAsOs2
1.0
4.499 0.000 0.000
2.249 3.896 0.000
2.249 1.299 3.673
Te Os As
1 2 1
Direct
0.000 0.000 0.000
0.750 0.750 0.750
0.250 0.250 0.250
0.500 0.500 0.500
```

Space group: Fm-3m, No. 225
Energy above the lowest structure with this stoichiometry (eV per atom): 0.0000
Uncorrected formation energy (eV per atom): 0.773

No. 21
A plane-wave DFT calculation with meta-GGA SCAN was carried out for a PBEsol-optimized structure of TeAsOs2.

Structure (POSCAR):
```
TeAsOs2
1.0
-0.806 -0.648 2.772
2.809 -0.527 -0.886
2.335 8.117 2.574
Te Os As
1 2 1
Direct
0.500 0.000 0.500
0.000 0.000 0.216
0.000 0.000 0.784
0.500 0.000 0.000
```

Space group: Cmmm, No. 65
Energy above the lowest structure with this stoichiometry (eV per atom): 0.1947
Uncorrected formation energy (eV per atom): 0.968

No. 22
A plane-wave DFT calculation with meta-GGA SCAN was carried out for a PBEsol-optimized structure of TeAsOs2.

Structure (POSCAR):
```
TeAsOs2
1.0
3.831 0.000 0.000
0.000 3.831 0.000
-1.915 -1.915 4.438
As Te Os
1 1 2
Direct
0.250 0.750 0.500
0.500 0.500 0.000
0.750 0.250 0.500
0.000 0.000 0.000
```

Space group: I-4m2, No. 119
Energy above the lowest structure with this stoichiometry (eV per atom): 0.1921
Uncorrected formation energy (eV per atom): 0.965

No. 23
A plane-wave DFT calculation with meta-GGA SCAN was carried out for a PBEsol-optimized structure of Te2AsOs.

Structure (POSCAR):
```
Te2AsOs
1.0
-1.369 1.844 1.641
-3.106 -2.335 0.034
2.933 -3.804 6.712
Os Te As
1 2 1
Direct
0.000 0.500 0.000
0.002 0.000 0.780
0.998 0.000 0.220
0.000 0.500 0.500
```

Space group: P2/m, No. 10
Uncorrected formation energy (eV per atom): 0.601

No. 24
A plane-wave DFT calculation with meta-GGA SCAN was carried out for a PBEsol-optimized structure of ThAs12Os4.

Structure (POSCAR):
```
ThAs12Os4
1.0
-4.038 1.583 5.974
5.920 -3.930 2.002
2.185 6.270 -3.225
As Os Th
12 4 1
Direct
0.496 0.149 0.347
0.802 0.149 0.653
0.851 0.347 0.198
0.504 0.851 0.653
0.347 0.198 0.851
0.653 0.504 0.851
0.653 0.802 0.149
0.198 0.851 0.347
0.347 0.496 0.149
0.149 0.653 0.802
0.149 0.347 0.496
0.851 0.653 0.504
0.500 0.500 0.500
0.000 0.500 0.000
0.500 0.000 0.000
0.000 0.000 0.500
0.000 0.000 0.000
```

Space group: Im-3, No. 204
DFT formation energy (eV/atom): -0.48

No. 25
A plane-wave DFT calculation with meta-GGA SCAN was carried out for a PBEsol-optimized structure of TlAsOs.

Structure (POSCAR):
```
TlAsOs
1.0
-2.835 -2.953 1.627
1.462 -3.290 2.539
-0.917 -0.031 4.309
Os As Tl
1 1 1
Direct
0.000 0.000 0.000
0.250 0.250 0.250
0.500 0.500 0.500
```

Space group: F-43m, No. 216
DFT formation energy (eV/atom): 1.19

No. 26
A plane-wave DFT calculation with meta-GGA SCAN was carried out for a PBEsol-optimized structure of AsOs2W.

Structure (POSCAR):
```
AsOs2W
1.0
2.810 0.000 0.001
0.000 4.091 0.000
-1.313 0.000 5.073
Os W As
2 1 1
Direct
0.131 0.000 0.260
0.869 0.000 0.740
0.500 0.500 0.000
0.500 0.500 0.500
```

Space group: P2/m, No. 10
DFT formation energy (eV/atom): 0.28

No. 27
A plane-wave DFT calculation with meta-GGA SCAN was carried out for a PBEsol-optimized structure of AsOs2W.

Structure (POSCAR):
```
AsOs2W
1.0
2.942 0.000 0.000
0.000 4.442 0.000
-1.471 -2.221 4.423
As W Os
1 1 2
Direct
0.255 0.755 0.511
0.524 0.524 0.047
0.748 0.248 0.496
0.973 0.973 0.946
```

Space group: Imm2, No. 44
DFT formation energy (eV/atom): 0.29

No. 28
A plane-wave DFT calculation with meta-GGA SCAN was carried out for a PBEsol-optimized structure of AsOsW2.

Structure (POSCAR):
```
AsOsW2
1.0
3.068 0.000 0.000
0.000 3.068 0.000
0.000 0.000 6.419
W Os As
2 1 1
Direct
0.500 0.500 0.266
0.000 0.000 0.995
0.500 0.500 0.755
0.000 0.000 0.484
```

Space group: P4mm, No. 99
DFT formation energy (eV/atom): 0.28

No. 29
A plane-wave DFT calculation with meta-GGA SCAN was carried out for a PBEsol-optimized structure of AsOsW2.

Structure (POSCAR):
```
AsOsW2
1.0
4.412 0.000 0.000
2.206 3.821 0.000
2.206 1.274 3.602
W As Os
2 1 1
Direct
0.750 0.750 0.750
0.000 0.000 0.000
0.500 0.500 0.500
0.250 0.250 0.250
```

Space group: F-43m, No. 216
DFT formation energy (eV/atom): 0.49